Entry i
A plane-wave DFT calculation with GGA-PBE was carried out for crystalline SiBi2Cl at its relaxed geometry.

Structure (POSCAR):
```
SiBi2Cl
1.0
-1.9512 -6.3545 2.8174
5.7214 -3.1300 -3.0973
4.8776 -3.6843 4.3187
Si Bi Cl
2 4 2
direct
0.5000 0.5000 0.0000
0.2500 0.7500 0.5000
0.5903 0.1250 0.2500
0.1597 0.6250 0.2500
0.3750 0.4097 0.7500
0.8750 0.8403 0.7500
0.0000 0.0000 0.0000
0.7500 0.2500 0.5000
```

Entry ii
A plane-wave DFT calculation with GGA-PBE was carried out for crystalline SiBi2Cl at its relaxed geometry.

Structure (POSCAR):
```
SiBi2Cl
1.0
0.0000 3.6457 3.6457
3.6457 0.0000 3.6457
3.6457 3.6457 0.0000
Si Bi Cl
1 2 1
direct
0.0000 0.0000 0.0000
0.2500 0.2500 0.2500
0.7500 0.7500 0.7500
0.5000 0.5000 0.5000
```

Most stable structure: entry ii

Entry i
A plane-wave DFT calculation with GGA-PBE was carried out for crystalline SiBiCl2 at its relaxed geometry.

Structure (POSCAR):
```
SiBiCl2
1.0
-3.9422 -3.1744 0.3170
-0.8317 -2.5906 4.2796
-3.9642 1.1658 2.9400
Si Bi Cl
1 1 2
direct
0.0000 0.0000 0.0000
0.5000 0.5000 0.5000
0.2500 0.2500 0.2500
0.7500 0.7500 0.7500
```

Entry ii
A plane-wave DFT calculation with GGA-PBE was carried out for crystalline SiBiCl2 at its relaxed geometry.

Structure (POSCAR):
```
SiBiCl2
1.0
-7.4728 0.6245 0.1577
-0.5732 -5.6091 -4.9465
-4.2349 -6.0541 1.6691
Si Bi Cl
2 2 4
direct
0.5000 0.5000 0.0000
0.2500 0.7500 0.5000
0.0000 0.0000 0.0000
0.7500 0.2500 0.5000
0.4391 0.1250 0.2500
0.3109 0.6250 0.2500
0.3750 0.5609 0.7500
0.8750 0.6891 0.7500
```

Entry iii
A plane-wave DFT calculation with GGA-PBE was carried out for crystalline SiBiCl2 at its relaxed geometry.

Structure (POSCAR):
```
SiBiCl2
1.0
6.9907 1.7754 6.7586
8.9645 0.7772 4.0908
7.9027 4.0677 4.3248
Si Bi Cl
1 1 2
direct
0.5000 0.5000 0.5000
0.0000 0.0000 0.0000
0.9046 0.9046 0.9046
0.0954 0.0954 0.0954
```

Entry iv
A plane-wave DFT calculation with GGA-PBE was carried out for crystalline SiBiCl2 at its relaxed geometry.

Structure (POSCAR):
```
SiBiCl2
1.0
-3.1587 -3.1120 8.8455
0.0407 -4.2477 8.9365
-0.6487 -1.0412 9.8184
Si Bi Cl
1 1 2
direct
0.0000 0.0000 0.0000
0.5000 0.5000 0.5000
0.9162 0.9162 0.9162
0.0838 0.0838 0.0838
```

Most stable structure: entry iv

Entry i
A plane-wave DFT calculation with GGA-PBE was carried out for crystalline SnBi2Cl8 at its relaxed geometry.

Structure (POSCAR):
```
SnBi2Cl8
1.0
-0.1096 3.2516 2.0516
-5.7702 3.9785 -6.6138
-7.4638 -5.0006 3.9211
Sn Bi Cl
1 2 8
direct
0.5000 0.0000 0.0000
0.1580 0.7204 0.3160
0.8420 0.2796 0.6840
0.6020 0.5474 0.2040
0.3522 0.0548 0.7044
0.2372 0.3088 0.4744
0.0072 0.7844 0.0144
0.7628 0.6912 0.5256
0.6478 0.9452 0.2956
0.3980 0.4526 0.7960
0.9928 0.2156 0.9856
```

Entry ii
A plane-wave DFT calculation with GGA-PBE was carried out for crystalline SnBi2Cl8 at its relaxed geometry.

Structure (POSCAR):
```
SnBi2Cl8
1.0
-0.4362 2.3074 8.3441
4.0355 -6.2388 2.5406
7.7561 -0.4602 1.1372
Sn Bi Cl
1 2 8
direct
0.0000 0.0000 0.0000
0.6163 0.1423 0.1423
0.3837 0.8577 0.8577
0.1653 0.1112 0.6107
0.1653 0.6107 0.1112
0.8347 0.8888 0.3893
0.4445 0.6766 0.6766
0.8347 0.3893 0.8888
0.3000 0.0655 0.0655
0.7000 0.9345 0.9345
0.5555 0.3234 0.3234
```

Most stable structure: entry i

Entry i
A plane-wave DFT calculation with GGA-PBE was carried out for crystalline SnBi3Cl at its relaxed geometry.

Structure (POSCAR):
```
SnBi3Cl
1.0
5.8344 0.0000 0.0000
0.0000 5.8344 0.0000
0.0000 0.0000 5.8344
Cl Bi Sn
1 3 1
direct
0.5000 0.5000 0.5000
0.0000 0.5000 0.0000
0.0000 0.0000 0.5000
0.5000 0.0000 0.0000
0.0000 0.0000 0.0000
```

Entry ii
A plane-wave DFT calculation with GGA-PBE was carried out for crystalline SnBi3Cl at its relaxed geometry.

Structure (POSCAR):
```
SnBi3Cl
1.0
-0.5610 -3.1812 -4.5048
5.1045 -2.0136 0.7863
-2.0877 -4.0686 3.1332
Cl Bi Sn
1 3 1
direct
0.0000 0.0000 0.0000
0.0000 0.5000 0.0000
0.0000 0.0000 0.5000
0.5000 0.0000 0.0000
0.5000 0.5000 0.5000
```

Most stable structure: entry ii

Entry i
A plane-wave DFT calculation with GGA-PBE was carried out for crystalline SnBiCl3 at its relaxed geometry.

Structure (POSCAR):
```
SnBiCl3
1.0
-3.8918 3.5209 -1.6608
-3.1827 -4.2300 -1.5094
-2.2417 -0.1069 5.0264
Cl Bi Sn
3 1 1
direct
0.0000 0.5000 0.0000
0.0000 0.0000 0.5000
0.5000 0.0000 0.0000
0.5000 0.5000 0.5000
0.0000 0.0000 0.0000
```

Entry ii
A plane-wave DFT calculation with GGA-PBE was carried out for crystalline SnBiCl3 at its relaxed geometry.

Structure (POSCAR):
```
SnBiCl3
1.0
-5.0028 -2.1749 1.0684
1.2227 -4.3818 -3.1945
2.0921 -2.6400 4.4220
Cl Bi Sn
3 1 1
direct
0.0000 0.5000 0.0000
0.0000 0.0000 0.5000
0.5000 0.0000 0.0000
0.0000 0.0000 0.0000
0.5000 0.5000 0.5000
```

Most stable structure: entry i

Entry i
A plane-wave DFT calculation with GGA-PBE was carried out for crystalline Sn2Bi2Cl at its relaxed geometry.

Structure (POSCAR):
```
Sn2Bi2Cl
1.0
4.7826 0.0000 0.0000
0.0000 4.7826 0.0000
2.3913 2.3913 7.3729
Cl Bi Sn
1 2 2
direct
0.0000 0.0000 0.0000
0.3818 0.3818 0.2363
0.6182 0.6182 0.7637
0.7500 0.2500 0.5000
0.2500 0.7500 0.5000
```

Entry ii
A plane-wave DFT calculation with GGA-PBE was carried out for crystalline Sn2Bi2Cl at its relaxed geometry.

Structure (POSCAR):
```
Sn2Bi2Cl
1.0
8.6268 0.0000 0.0000
0.0000 8.6268 0.0000
0.0000 0.0000 4.0408
Cl Bi Sn
2 4 4
direct
0.0000 0.0000 0.0000
0.5000 0.5000 0.0000
0.1411 0.6411 0.5000
0.6411 0.8589 0.5000
0.8589 0.3589 0.5000
0.3589 0.1411 0.5000
0.3461 0.8461 0.0000
0.8461 0.6539 0.0000
0.6539 0.1539 0.0000
0.1539 0.3461 0.0000
```

Entry iii
A plane-wave DFT calculation with GGA-PBE was carried out for crystalline Sn2Bi2Cl at its relaxed geometry.

Structure (POSCAR):
```
Sn2Bi2Cl
1.0
8.6948 0.0000 0.0000
0.0000 8.6948 0.0000
0.0000 0.0000 4.0119
Cl Bi Sn
2 4 4
direct
0.0000 0.0000 0.0000
0.5000 0.5000 0.0000
0.3484 0.8484 0.0000
0.8484 0.6516 0.0000
0.6516 0.1516 0.0000
0.1516 0.3484 0.0000
0.1397 0.6397 0.5000
0.6397 0.8603 0.5000
0.8603 0.3603 0.5000
0.3603 0.1397 0.5000
```

Most stable structure: entry i

Entry i
A plane-wave DFT calculation with GGA-PBE was carried out for crystalline SnBi2Cl at its relaxed geometry.

Structure (POSCAR):
```
SnBi2Cl
1.0
-6.5722 2.3737 2.5965
-3.4354 -5.5153 -3.6536
-4.4128 -5.0169 4.1177
Cl Bi Sn
2 4 2
direct
0.5000 0.5000 0.0000
0.2500 0.7500 0.5000
0.6303 0.1250 0.2500
0.1197 0.6250 0.2500
0.3750 0.3697 0.7500
0.8750 0.8803 0.7500
0.0000 0.0000 0.0000
0.7500 0.2500 0.5000
```

Entry ii
A plane-wave DFT calculation with GGA-PBE was carried out for crystalline SnBi2Cl at its relaxed geometry.

Structure (POSCAR):
```
SnBi2Cl
1.0
0.0000 3.7923 3.7923
3.7923 0.0000 3.7923
3.7923 3.7923 0.0000
Cl Bi Sn
1 2 1
direct
0.0000 0.0000 0.0000
0.2500 0.2500 0.2500
0.7500 0.7500 0.7500
0.5000 0.5000 0.5000
```

Most stable structure: entry ii

Entry i
A plane-wave DFT calculation with GGA-PBE was carried out for crystalline Sr2Bi2Cl at its relaxed geometry.

Structure (POSCAR):
```
Sr2Bi2Cl
1.0
4.6638 0.0000 0.0000
0.0000 4.6638 0.0000
2.3319 2.3319 8.9629
Sr Bi Cl
2 2 1
direct
0.3883 0.3883 0.2235
0.6117 0.6117 0.7765
0.7500 0.2500 0.5000
0.2500 0.7500 0.5000
0.0000 0.0000 0.0000
```

Entry ii
A plane-wave DFT calculation with GGA-PBE was carried out for crystalline Sr2Bi2Cl at its relaxed geometry.

Structure (POSCAR):
```
Sr2Bi2Cl
1.0
-1.2180 -1.8175 -7.9280
-7.8589 -1.8029 1.6207
-1.3287 4.9544 -0.9317
Sr Bi Cl
4 4 2
direct
0.3252 0.8252 0.0000
0.8252 0.6748 0.0000
0.6748 0.1748 0.0000
0.1748 0.3252 0.0000
0.1283 0.6283 0.5000
0.6283 0.8717 0.5000
0.8717 0.3717 0.5000
0.3717 0.1283 0.5000
0.0000 0.0000 0.0000
0.5000 0.5000 0.0000
```

Most stable structure: entry ii

Entry i
A plane-wave DFT calculation with GGA-PBE was carried out for crystalline SrBiCl5 at its relaxed geometry.

Structure (POSCAR):
```
SrBiCl5
1.0
-4.9010 1.4512 -5.2357
-1.1350 -7.1669 -0.9413
-4.3917 2.4685 8.8052
Sr Bi Cl
2 2 10
direct
0.9209 0.5791 0.2500
0.0791 0.4209 0.7500
0.0000 0.0000 0.0000
0.5000 0.5000 0.5000
0.7893 0.9016 0.1490
0.8061 0.3004 0.4620
0.4016 0.2893 0.6490
0.2191 0.2809 0.2500
0.1996 0.6939 0.0380
0.8004 0.3061 0.9620
0.7809 0.7191 0.7500
0.5984 0.7107 0.3510
0.1939 0.6996 0.5380
0.2107 0.0984 0.8510
```

Entry ii
A plane-wave DFT calculation with GGA-PBE was carried out for crystalline SrBiCl5 at its relaxed geometry.

Structure (POSCAR):
```
SrBiCl5
1.0
7.4433 0.0266 0.0094
2.3867 7.0504 0.0094
3.5382 2.5473 9.4456
Sr Bi Cl
2 2 10
direct
0.5403 0.4597 0.2500
0.4597 0.5403 0.7500
0.0000 0.0000 0.0000
0.0000 0.0000 0.5000
0.8075 0.7119 0.1322
0.2814 0.6595 0.4766
0.7119 0.8075 0.6322
0.8960 0.1040 0.2500
0.3405 0.7186 0.0234
0.6595 0.2814 0.9766
0.1040 0.8960 0.7500
0.2881 0.1925 0.3678
0.7186 0.3405 0.5234
0.1925 0.2881 0.8678
```

Most stable structure: entry ii

Entry i
A plane-wave DFT calculation with GGA-PBE was carried out for crystalline TaBi2Cl at its relaxed geometry.

Structure (POSCAR):
```
TaBi2Cl
1.0
6.6441 0.0000 0.0000
0.0000 6.6441 0.0000
3.3220 3.3220 6.9167
Cl Bi Ta
2 4 2
direct
0.5000 0.5000 0.0000
0.2500 0.7500 0.5000
0.6795 0.1250 0.2500
0.0705 0.6250 0.2500
0.3750 0.3205 0.7500
0.8750 0.9295 0.7500
0.0000 0.0000 0.0000
0.7500 0.2500 0.5000
```

Entry ii
A plane-wave DFT calculation with GGA-PBE was carried out for crystalline TaBi2Cl at its relaxed geometry.

Structure (POSCAR):
```
TaBi2Cl
1.0
1.7622 2.3670 4.2717
-2.6183 4.0043 2.0164
-2.5248 -0.5525 4.5028
Cl Bi Ta
1 2 1
direct
0.0000 0.0000 0.0000
0.2500 0.2500 0.2500
0.7500 0.7500 0.7500
0.5000 0.5000 0.5000
```

Most stable structure: entry ii

Entry i
A plane-wave DFT calculation with GGA-PBE was carried out for crystalline TcBiCl2 at its relaxed geometry.

Structure (POSCAR):
```
TcBiCl2
1.0
1.9374 0.0000 10.8337
-0.9687 1.6778 10.8337
-0.9687 -1.6778 10.8337
Cl Bi Tc
2 1 1
direct
0.8793 0.8793 0.8793
0.1207 0.1207 0.1207
0.0000 0.0000 0.0000
0.5000 0.5000 0.5000
```

Entry ii
A plane-wave DFT calculation with GGA-PBE was carried out for crystalline TcBiCl2 at its relaxed geometry.

Structure (POSCAR):
```
TcBiCl2
1.0
8.4894 0.0000 0.0000
0.0000 8.4894 0.0000
4.2447 4.2447 2.6544
Cl Bi Tc
4 2 2
direct
0.5010 0.1250 0.2500
0.2490 0.6250 0.2500
0.3750 0.4990 0.7500
0.8750 0.7510 0.7500
0.0000 0.0000 0.0000
0.7500 0.2500 0.5000
0.5000 0.5000 0.0000
0.2500 0.7500 0.5000
```

Most stable structure: entry i